Record 1
Material: Ta2CuHg
Method: DFT, GGA-PBE
State: optimized geometry

Calculated values
formation energy: 0.28 eV/atom
size of the total moment: 0.000 μB per atom
density: 14.62 Mg/m³

Cell: 2.9568 4.1094 6.0262 Å, 90.00 103.83 90.00°
Fractional positions:
Ta 0.0000 0.0000 0.0000
Ta 0.3732 0.5000 0.7424
Cu 0.5996 0.5000 0.2025
Hg 0.7429 0.0000 0.4754



Record 2
Material: TaCu2Hg2
Method: DFT, GGA-PBE
State: optimized geometry

Calculated values
formation energy: 0.49 eV/atom
size of the total moment: 0.000 μB per atom
density: 13.06 Mg/m³

Cell: 3.2579 3.2579 16.9859 Å, 90.00 90.00 90.00°
Fractional positions:
Ta 0.0000 0.0000 0.0000
Ta 0.5000 0.5000 0.5000
Cu 0.0000 0.5000 0.2500
Cu 0.0000 0.5000 0.7500
Cu 0.5000 0.0000 0.2500
Cu 0.5000 0.0000 0.7500
Hg 0.0000 0.0000 0.3850
Hg 0.0000 0.0000 0.6150
Hg 0.5000 0.5000 0.1150
Hg 0.5000 0.5000 0.8850



Record 3
Material: Ta2CuHg
Method: DFT, GGA-PBE
State: optimized geometry

Calculated values
formation energy: 0.30 eV/atom
size of the total moment: 0.000 μB per atom
density: 15.05 Mg/m³

Cell: 2.9158 4.0197 5.8937 Å, 90.00 90.12 90.00°
Fractional positions:
Ta 0.0008 0.0000 0.2688
Ta 0.9992 0.0000 0.7312
Cu 0.5000 0.5000 0.5000
Hg 0.5000 0.5000 0.0000



Record 4
Material: Ta3CuHg
Method: DFT, GGA-PBE
State: optimized geometry

Calculated values
formation energy: 1.15 eV/atom
size of the total moment: 0.320 μB per atom
density: 13.22 Mg/m³

Cell: 4.6626 4.6626 4.6626 Å, 90.00 90.00 90.00°
Fractional positions:
Ta 0.0000 0.0000 0.5000
Ta 0.0000 0.5000 0.0000
Ta 0.5000 0.0000 0.0000
Cu 0.0000 0.0000 0.0000
Hg 0.5000 0.5000 0.5000



Record 5
Material: Ta2CuHg
Method: DFT, GGA-PBE
State: optimized geometry

Calculated values
formation energy: 0.18 eV/atom
size of the total moment: 0.000 μB per atom
density: 14.92 Mg/m³

Cell: 2.8597 2.8597 8.5186 Å, 90.00 90.00 90.00°
Fractional positions:
Ta 0.0000 0.0000 0.0000
Ta 0.5000 0.5000 0.2683
Cu 0.0000 0.0000 0.4900
Hg 0.5000 0.5000 0.7258



Record 6
Material: Ta2CuHg2
Method: DFT, GGA-PBE
State: optimized geometry

Calculated values
formation energy: 0.99 eV/atom
size of the total moment: 0.000 μB per atom
density: 12.93 Mg/m³

Cell: 3.8915 3.8915 14.0160 Å, 90.00 90.00 90.00°
Fractional positions:
Ta 0.0000 0.0000 0.0855
Ta 0.0000 0.0000 0.9145
Ta 0.5000 0.5000 0.4145
Ta 0.5000 0.5000 0.5855
Cu 0.0000 0.0000 0.5000
Cu 0.5000 0.5000 0.0000
Hg 0.0000 0.5000 0.2500
Hg 0.0000 0.5000 0.7500
Hg 0.5000 0.0000 0.2500
Hg 0.5000 0.0000 0.7500



Record 7
Material: Ta2CuHg
Method: DFT, GGA-PBE
State: optimized geometry

Calculated values
formation energy: 0.35 eV/atom
size of the total moment: 0.000 μB per atom
density: 14.74 Mg/m³

Cell: 9.9429 2.9144 4.9496 Å, 90.00 100.43 90.00°
Fractional positions:
Ta 0.2468 0.0000 0.2406
Ta 0.2532 0.5000 0.7594
Ta 0.7468 0.5000 0.2406
Ta 0.7532 0.0000 0.7594
Cu 0.0000 0.5000 0.0000
Cu 0.5000 0.0000 0.0000
Hg 0.0000 0.0000 0.5000
Hg 0.5000 0.5000 0.5000



Record 8
Material: Ta2CuHg2Te6
Method: DFT, GGA-PBE
State: optimized geometry

Calculated values
size of the total moment: 0.000 μB per atom
calculated total energy: -4.401 eV/atom
density: 7.32 Mg/m³

Cell: 6.6735 6.6735 9.8416 Å, 98.27 98.27 120.58°
Fractional positions:
Ta 0.1666 0.8334 0.0000
Ta 0.8334 0.1666 0.0000
Cu 0.5000 0.5000 0.0000
Hg 0.2994 0.7006 0.5000
Hg 0.7006 0.2994 0.5000
Te 0.0936 0.4243 0.8206
Te 0.2490 0.2490 0.1790
Te 0.4243 0.0936 0.8206
Te 0.5757 0.9064 0.1794
Te 0.7510 0.7510 0.8210
Te 0.9064 0.5757 0.1794



Record 9
Material: TaCu2HgTe
Method: DFT, GGA-PBE
State: optimized geometry

Calculated values
size of the total moment: 0.269 μB per atom
calculated total energy: -3.534 eV/atom
density: 8.88 Mg/m³

Cell: 4.7427 4.7427 5.2888 Å, 90.00 90.00 90.00°
Fractional positions:
Ta 0.0000 0.0000 0.0000
Cu 0.0000 0.5000 0.5000
Cu 0.5000 0.0000 0.5000
Hg 0.0000 0.0000 0.5000
Te 0.5000 0.5000 0.0000



Record 10
Material: YTa2CuHg
Method: DFT, GGA-PBE
State: optimized geometry

Calculated values
formation energy: 0.87 eV/atom
size of the total moment: 0.000 μB per atom
density: 10.64 Mg/m³

Cell: 4.7640 4.7640 4.9154 Å, 90.00 90.00 90.00°
Fractional positions:
Y 0.0000 0.0000 0.0000
Ta 0.0000 0.5000 0.5000
Ta 0.5000 0.0000 0.5000
Cu 0.5000 0.5000 0.5000
Hg 0.5000 0.5000 0.0000



Record 11
Material: Tb6Cu5Hg
Method: DFT, GGA-PBE
State: optimized geometry

Calculated values
formation energy: -0.27 eV/atom
size of the total moment: 0.000 μB per atom
density: 9.24 Mg/m³

Cell: 7.8899 7.8899 7.0727 Å, 90.00 90.00 143.07°
Fractional positions:
Tb 0.0000 0.0000 0.2383
Tb 0.0000 0.0000 0.7617
Tb 0.3289 0.6711 0.2451
Tb 0.3289 0.6711 0.7549
Tb 0.6711 0.3289 0.2451
Tb 0.6711 0.3289 0.7549
Cu 0.1650 0.8350 0.0000
Cu 0.1651 0.8349 0.5000
Cu 0.5000 0.5000 0.0000
Cu 0.8350 0.1650 0.0000
Cu 0.8349 0.1651 0.5000
Hg 0.5000 0.5000 0.5000



Record 12
Material: Tb6CuHg2
Method: DFT, GGA-PBE
State: optimized geometry

Calculated values
formation energy: -0.16 eV/atom
size of the total moment: 0.000 μB per atom
density: 9.15 Mg/m³

Cell: 6.2644 7.9480 11.7529 Å, 90.00 118.42 90.00°
Fractional positions:
Tb 0.0968 0.2115 0.4461
Tb 0.0968 0.2885 0.9461
Tb 0.3009 0.6604 0.4458
Tb 0.3009 0.8396 0.9458
Tb 0.3714 0.0387 0.2404
Tb 0.3714 0.4613 0.7404
Tb 0.6286 0.5387 0.2596
Tb 0.6286 0.9613 0.7596
Tb 0.6991 0.1604 0.0542
Tb 0.6991 0.3396 0.5542
Tb 0.9032 0.7115 0.0539
Tb 0.9032 0.7885 0.5539
Cu 0.5000 0.0000 0.5000
Cu 0.5000 0.5000 0.0000
Hg 0.1464 0.1062 0.7265
Hg 0.1464 0.3938 0.2265
Hg 0.8536 0.6062 0.7735
Hg 0.8536 0.8938 0.2735



Record 13
Material: TbCuHg2
Method: DFT, GGA-PBE
State: optimized geometry

Calculated values
formation energy: -0.15 eV/atom
size of the total moment: 0.062 μB per atom
density: 12.19 Mg/m³

Cell: 3.4295 3.4295 7.2229 Å, 90.00 90.00 90.00°
Fractional positions:
Tb 0.0000 0.0000 0.0000
Cu 0.0000 0.0000 0.5000
Hg 0.5000 0.5000 0.2873
Hg 0.5000 0.5000 0.7127



Record 14
Material: Tb4Cu3Hg
Method: DFT, GGA-PBE
State: optimized geometry

Calculated values
formation energy: -0.27 eV/atom
size of the total moment: 0.000 μB per atom
density: 9.21 Mg/m³

Cell: 3.7504 4.6073 10.7110 Å, 90.00 90.00 90.00°
Fractional positions:
Tb 0.0000 0.0000 0.0000
Tb 0.0000 0.5000 0.2652
Tb 0.5000 0.0000 0.4718
Tb 0.5000 0.5000 0.7781
Cu 0.0000 0.5000 0.5458
Cu 0.5000 0.0000 0.1996
Cu 0.5000 0.5000 0.0608
Hg 0.0000 0.0000 0.7052



Record 15
Material: Tb4CuHg3
Method: DFT, GGA-PBE
State: optimized geometry

Calculated values
formation energy: -0.41 eV/atom
size of the total moment: 0.029 μB per atom
density: 10.84 Mg/m³

Cell: 3.6390 3.6390 15.0466 Å, 90.00 90.00 90.00°
Fractional positions:
Tb 0.0000 0.0000 0.1107
Tb 0.0000 0.0000 0.3705
Tb 0.0000 0.0000 0.6295
Tb 0.0000 0.0000 0.8893
Cu 0.5000 0.5000 0.0000
Hg 0.5000 0.5000 0.2423
Hg 0.5000 0.5000 0.5000
Hg 0.5000 0.5000 0.7577



Record 16
Material: Tb2CuHg8
Method: DFT, GGA-PBE
State: optimized geometry

Calculated values
formation energy: -0.22 eV/atom
size of the total moment: 0.000 μB per atom
density: 12.48 Mg/m³

Cell: 4.5993 4.5993 12.4923 Å, 90.00 90.00 90.00°
Fractional positions:
Tb 0.0000 0.0000 0.1975
Tb 0.0000 0.0000 0.8025
Cu 0.0000 0.0000 0.5000
Hg 0.0000 0.5000 0.0000
Hg 0.0000 0.5000 0.3752
Hg 0.0000 0.5000 0.6248
Hg 0.5000 0.0000 0.0000
Hg 0.5000 0.0000 0.3752
Hg 0.5000 0.0000 0.6248
Hg 0.5000 0.5000 0.1849
Hg 0.5000 0.5000 0.8151



Record 17
Material: Tb5Cu2Hg
Method: DFT, GGA-PBE
State: optimized geometry

Calculated values
formation energy: -0.22 eV/atom
size of the total moment: 0.000 μB per atom
density: 9.22 Mg/m³

Cell: 8.5256 8.5256 8.5256 Å, 124.51 124.51 82.36°
Fractional positions:
Tb 0.0000 0.0000 0.0000
Tb 0.0138 0.5138 0.8129
Tb 0.2009 0.0138 0.5000
Tb 0.2991 0.7991 0.8129
Tb 0.4862 0.2991 0.5000
Tb 0.5000 0.5000 0.0000
Tb 0.5138 0.7009 0.5000
Tb 0.7009 0.2009 0.1871
Tb 0.7991 0.9862 0.5000
Tb 0.9862 0.4862 0.1871
Cu 0.1283 0.3717 0.5000
Cu 0.3717 0.8717 0.2434
Cu 0.6283 0.1283 0.7566
Cu 0.8717 0.6283 0.5000
Hg 0.2500 0.2500 0.0000
Hg 0.7500 0.7500 0.0000



Record 18
Material: Tb3Cu2Hg4
Method: DFT, GGA-PBE
State: optimized geometry

Calculated values
formation energy: -0.34 eV/atom
size of the total moment: 0.000 μB per atom
density: 11.52 Mg/m³

Cell: 5.9685 5.9685 8.8126 Å, 115.47 115.47 46.95°
Fractional positions:
Tb 0.0000 0.0000 0.0000
Tb 0.3309 0.3309 0.3427
Tb 0.6691 0.6691 0.6573
Cu 0.3994 0.3994 0.7258
Cu 0.6006 0.6006 0.2742
Hg 0.0565 0.0565 0.3805
Hg 0.2900 0.2900 0.9399
Hg 0.7100 0.7100 0.0601
Hg 0.9435 0.9435 0.6195



Record 19
Material: Tb6CuHg
Method: DFT, GGA-PBE
State: optimized geometry

Calculated values
formation energy: 0.10 eV/atom
size of the total moment: 0.000 μB per atom
density: 7.96 Mg/m³

Cell: 7.0714 7.0810 7.0845 Å, 60.49 60.52 60.62°
Fractional positions:
Tb 0.0405 0.2695 0.4327
Tb 0.2311 0.0674 0.9589
Tb 0.4344 0.5398 0.7688
Tb 0.5656 0.4602 0.2312
Tb 0.7689 0.9326 0.0411
Tb 0.9595 0.7305 0.5673
Cu 0.0000 0.5000 0.0000
Hg 0.5000 0.0000 0.5000



Record 20
Material: Tb4Cu3Hg
Method: DFT, GGA-PBE
State: optimized geometry

Calculated values
formation energy: -0.28 eV/atom
size of the total moment: 0.000 μB per atom
density: 9.46 Mg/m³

Cell: 3.5544 5.0612 10.0181 Å, 90.00 90.00 90.00°
Fractional positions:
Tb 0.0000 0.0000 0.0000
Tb 0.0000 0.0000 0.5000
Tb 0.0000 0.5000 0.2364
Tb 0.0000 0.5000 0.7636
Cu 0.5000 0.0000 0.2472
Cu 0.5000 0.0000 0.7528
Cu 0.5000 0.5000 0.0000
Hg 0.5000 0.5000 0.5000



Record 21
Material: TbCuHg2
Method: DFT, GGA-PBE
State: optimized geometry

Calculated values
formation energy: -0.28 eV/atom
size of the total moment: 0.000 μB per atom
density: 12.16 Mg/m³

Cell: 4.1791 10.2177 7.9786 Å, 90.00 90.00 90.00°
Fractional positions:
Tb 0.0000 0.0672 0.2500
Tb 0.0000 0.9328 0.7500
Tb 0.5000 0.4328 0.7500
Tb 0.5000 0.5672 0.2500
Cu 0.0000 0.2275 0.7500
Cu 0.0000 0.7725 0.2500
Cu 0.5000 0.2725 0.2500
Cu 0.5000 0.7275 0.7500
Hg 0.0000 0.3598 0.0507
Hg 0.0000 0.3598 0.4493
Hg 0.0000 0.6402 0.5507
Hg 0.0000 0.6402 0.9493
Hg 0.5000 0.1402 0.5507
Hg 0.5000 0.1402 0.9493
Hg 0.5000 0.8598 0.0507
Hg 0.5000 0.8598 0.4493



Record 22
Material: Tb6CuHg5
Method: DFT, GGA-PBE
State: optimized geometry

Calculated values
formation energy: -0.42 eV/atom
size of the total moment: 0.000 μB per atom
density: 10.99 Mg/m³

Cell: 5.2231 7.4558 8.2517 Å, 90.00 108.17 90.00°
Fractional positions:
Tb 0.0000 0.2388 0.0000
Tb 0.0000 0.7612 0.0000
Tb 0.3386 0.2445 0.6764
Tb 0.3386 0.7555 0.6764
Tb 0.6614 0.2445 0.3236
Tb 0.6614 0.7555 0.3236
Cu 0.5000 0.0000 0.0000
Hg 0.1670 0.5000 0.3352
Hg 0.1679 0.0000 0.3366
Hg 0.5000 0.5000 0.0000
Hg 0.8321 0.0000 0.6634
Hg 0.8330 0.5000 0.6648



Record 23
Material: Tb5Cu4Hg
Method: DFT, GGA-PBE
State: optimized geometry

Calculated values
formation energy: -0.28 eV/atom
size of the total moment: 0.000 μB per atom
density: 9.38 Mg/m³

Cell: 3.5133 3.5133 17.9251 Å, 90.00 90.00 90.00°
Fractional positions:
Tb 0.0000 0.0000 0.0000
Tb 0.0000 0.0000 0.1934
Tb 0.0000 0.0000 0.3851
Tb 0.0000 0.0000 0.6149
Tb 0.0000 0.0000 0.8066
Cu 0.5000 0.5000 0.0969
Cu 0.5000 0.5000 0.2891
Cu 0.5000 0.5000 0.7109
Cu 0.5000 0.5000 0.9031
Hg 0.5000 0.5000 0.5000



Record 24
Material: Tb3CuHg
Method: DFT, GGA-PBE
State: optimized geometry

Calculated values
formation energy: -0.10 eV/atom
size of the total moment: 0.000 μB per atom
density: 8.77 Mg/m³

Cell: 3.8130 8.9711 8.9753 Å, 113.93 90.00 90.00°
Fractional positions:
Tb 0.0000 0.0000 0.0000
Tb 0.0000 0.1651 0.6263
Tb 0.4991 0.4158 0.9806
Tb 0.4991 0.7507 0.6455
Tb 0.9989 0.3959 0.3955
Tb 0.9989 0.7698 0.2308
Cu 0.4991 0.5828 0.3132
Cu 0.5006 0.0832 0.8138
Hg 0.4993 0.0828 0.3132
Hg 0.9992 0.5827 0.8126